Entry 1:
A geometry-optimized ErSnP2Rh5 structure, computed with PBE-GGA.

```
ErSnP2Rh5
1.0
4.043 0.000 0.000
0.000 4.043 0.000
0.000 0.000 8.617
Er Sn P Rh
1 1 2 5
Direct
0.000 0.000 0.000
0.000 0.000 0.500
0.500 0.500 0.135
0.500 0.500 0.865
0.000 0.500 0.263
0.000 0.500 0.737
0.500 0.000 0.263
0.500 0.000 0.737
0.500 0.500 0.500
```

## Properties
* V: 15.7 Å³ per atom
* total DFT energy (no corrections): -7.11 eV per atom

Entry 2:
A geometry-optimized KAlS2 structure, computed with PBE-GGA.

```
KAlS2
1.0
3.996 0.000 0.000
0.000 3.996 0.000
0.000 0.000 5.508
K Al S
1 1 2
Direct
0.000 0.000 0.000
0.500 0.500 0.500
0.000 0.000 0.500
0.500 0.500 0.000
```

## Properties
* ΔE_f (raw): -0.350 eV per atom
* V: 22.0 Å³ per atom
* total DFT energy (no corrections): -3.62 eV per atom

Entry 3:
A geometry-optimized VHN2Cl structure, computed with PBE-GGA.

```
VHN2Cl
1.0
3.976 0.000 0.000
0.000 3.976 0.000
0.000 0.000 2.949
V H N Cl
1 1 2 1
Direct
0.000 0.000 0.000
0.500 0.500 0.000
0.000 0.500 0.500
0.500 0.000 0.500
0.500 0.500 0.500
```

## Properties
* V: 9.3 Å³ per atom
* total DFT energy (no corrections): -4.73 eV per atom